The following is a GGA-PBEsol calculation of crystalline YTlSb2I at its relaxed geometry, from the Alexandria database.

Computed properties:
The calculation puts the total magnetization at 0.00 μB per cell. The value obtained for the energy above the lowest structure with this stoichiometry is 462 meV per atom. The formation energy without anion corrections is 8.9 kcal/mol of atoms. As for the density of states at the Fermi level: 0.514 states/eV/atom.

Lattice parameters (Å, degrees): 5.498 5.498 5.855 90.00 90.00 90.00
Sites, in units of the cell vectors:
I 0.000 0.000 0.500
Sb 0.000 0.500 0.000
Sb 0.500 0.000 0.000
Tl 0.000 0.000 0.000
Y 0.500 0.500 0.500